# PBE Ce6PuRh3, optimized geometry
data_Ce6PuRh3
_chemical_formula_sum 'Ce24 Pu4 Rh12'
_cell_length_a 9.548
_cell_length_b 18.547
_cell_length_c 5.423
_cell_angle_alpha 90.00
_cell_angle_beta 90.00
_cell_angle_gamma 90.00
_symmetry_space_group_name_H-M 'C m c 21'
_symmetry_Int_Tables_number 36
loop_
_symmetry_equiv_pos_as_xyz
'x,y,z'
'-x,-y,z+1/2'
'-x,y,z'
'x,-y,z+1/2'
'x+1/2,y+1/2,z'
'-x+1/2,-y+1/2,z+1/2'
'-x+1/2,y+1/2,z'
'x+1/2,-y+1/2,z+1/2'
loop_
_atom_site_label
_atom_site_type_symbol
_atom_site_fract_x
_atom_site_fract_y
_atom_site_fract_z
Ce1 Ce 0.000 0.061 0.000
Ce2 Ce 0.000 0.235 0.261
Ce3 Ce 0.173 0.437 0.296
Ce4 Ce 0.177 0.310 0.765
Pu1 Pu 0.000 0.201 0.726
Rh1 Rh 0.000 0.440 0.763
Rh2 Rh 0.150 0.078 0.436
# E_form ... -0.32 eV/atom

# PBE Cu3H9Ir, optimized geometry
data_Cu3H9Ir
_chemical_formula_sum 'Cu12 H36 Ir4'
_cell_length_a 12.473
_cell_length_b 5.011
_cell_length_c 8.078
_cell_angle_alpha 90.00
_cell_angle_beta 125.20
_cell_angle_gamma 90.00
_symmetry_space_group_name_H-M 'C 1 c 1'
_symmetry_Int_Tables_number 9
loop_
_symmetry_equiv_pos_as_xyz
'x,y,z'
'x,-y,z+1/2'
'x+1/2,y+1/2,z'
'x+1/2,-y+1/2,z+1/2'
loop_
_atom_site_label
_atom_site_type_symbol
_atom_site_fract_x
_atom_site_fract_y
_atom_site_fract_z
Cu1 Cu 0.000 0.029 0.000
Cu2 Cu 0.120 0.276 0.341
Cu3 Cu 0.286 0.234 0.230
H1 H 0.073 0.317 0.691
H2 H 0.123 0.240 0.133
H3 H 0.130 0.264 0.689
H4 H 0.236 0.070 0.581
H5 H 0.249 0.474 0.028
H6 H 0.356 0.091 0.470
H7 H 0.359 0.325 0.853
H8 H 0.475 0.030 0.790
H9 H 0.493 0.498 0.266
Ir1 Ir 0.366 0.274 0.653
# E ... -3.85 eV per atom

# PBE CsNd2Se3, optimized geometry
data_CsNd2Se3
_chemical_formula_sum 'Cs2 Nd4 Se6'
_cell_length_a 7.899
_cell_length_b 4.287
_cell_length_c 11.504
_cell_angle_alpha 90.00
_cell_angle_beta 103.41
_cell_angle_gamma 90.00
_symmetry_space_group_name_H-M 'P 1 21/m 1'
_symmetry_Int_Tables_number 11
loop_
_symmetry_equiv_pos_as_xyz
'x,y,z'
'-x,-y,-z'
'-x,y+1/2,-z'
'x,-y+1/2,z'
loop_
_atom_site_label
_atom_site_type_symbol
_atom_site_fract_x
_atom_site_fract_y
_atom_site_fract_z
Cs1 Cs 0.027 0.250 0.343
Nd1 Nd 0.254 0.250 0.993
Nd2 Nd 0.499 0.750 0.317
Se1 Se 0.146 0.750 0.140
Se2 Se 0.323 0.750 0.522
Se3 Se 0.390 0.750 0.846
# Energy above the lowest structure with this stoichiometry ... 0.000 eV per atom
# E_form (uncorrected) ... -1.66 eV per atom

# PBE Sc2Tc, optimized geometry
data_Sc2Tc
_chemical_formula_sum 'Sc2 Tc1'
_cell_length_a 4.596
_cell_length_b 4.596
_cell_length_c 3.110
_cell_angle_alpha 90.00
_cell_angle_beta 90.00
_cell_angle_gamma 90.00
_symmetry_space_group_name_H-M 'P 4/m m m'
_symmetry_Int_Tables_number 123
_symmetry_space_group_name_Hall '-P 4 2'
loop_
_atom_site_label
_atom_site_type_symbol
_atom_site_fract_x
_atom_site_fract_y
_atom_site_fract_z
Sc1 Sc 0.000 0.500 0.000
Tc1 Tc 0.000 0.000 0.500
# Energy above the lowest structure with this stoichiometry ... 0.287 eV per atom
# E_form ... 0.07 eV/atom

# PBE BaBeSe2, optimized geometry
data_BaBeSe2
_chemical_formula_sum 'Ba3 Be3 Se6'
_cell_length_a 4.0825
_cell_length_b 4.0825
_cell_length_c 20.6336
_cell_angle_alpha 90.00
_cell_angle_beta 90.00
_cell_angle_gamma 120.00
_symmetry_space_group_name_H-M 'R -3 m'
_symmetry_Int_Tables_number 166
_symmetry_space_group_name_Hall '-R 3 2"'
loop_
_atom_site_label
_atom_site_type_symbol
_atom_site_fract_x
_atom_site_fract_y
_atom_site_fract_z
Ba1 Ba 0.0000 0.0000 0.0000
Be1 Be 0.0000 0.0000 0.5000
Se1 Se 0.0000 0.0000 0.2269
# E_form (uncorrected) ... -0.86 eV per atom

# PBE Li2NpSc2S6, optimized geometry
data_Li2NpSc2S6
_chemical_formula_sum 'Li4 Np2 Sc4 S12'
_cell_length_a 6.538
_cell_length_b 11.377
_cell_length_c 6.511
_cell_angle_alpha 90.00
_cell_angle_beta 109.64
_cell_angle_gamma 90.00
_symmetry_space_group_name_H-M 'C 1 2/m 1'
_symmetry_Int_Tables_number 12
loop_
_symmetry_equiv_pos_as_xyz
'x,y,z'
'-x,-y,-z'
'-x,y,-z'
'x,-y,z'
'x+1/2,y+1/2,z'
'-x+1/2,-y+1/2,-z'
'-x+1/2,y+1/2,-z'
'x+1/2,-y+1/2,z'
loop_
_atom_site_label
_atom_site_type_symbol
_atom_site_fract_x
_atom_site_fract_y
_atom_site_fract_z
Li1 Li 0.000 0.170 0.000
Np1 Np 0.000 0.000 0.500
Sc1 Sc 0.000 0.334 0.500
S1 S 0.242 0.500 0.738
S2 S 0.246 0.173 0.738
# E_form (uncorrected) ... -1.60 eV per atom

no.,magnetization (μB per cell)
1,18.84
2,0.00
3,0.00
4,0.00
5,0.00
6,6.00